No. 1
LiDyZn2 | GGA-PBE | optimized geometry

Computed properties:
Its space group is P4/mmm (123). For the excess energy over the best structure of this formula in the dataset, the calculation gives 0.27 eV per formula unit.

Unit cell a=3.329 b=4.950 c=4.950 alpha=90.00 beta=90.00 gamma=90.00
Sites, in units of the cell vectors:
Zn  0.000  0.000  0.500
Li  0.500  0.000  0.000
Dy  0.500  0.500  0.500
Zn  0.000  0.500  0.000

---

No. 2
Li6DyZn12 | GGA-PBE | optimized geometry

Computed properties:
Its space group is R-3m (166).

Unit cell a=7.098 b=7.098 c=7.098 alpha=105.20 beta=105.20 gamma=105.20
Sites, in units of the cell vectors:
Zn  0.858  0.609  0.609
Li  0.279  0.710  0.279
Zn  0.500  0.113  0.887
Li  0.721  0.290  0.721
Zn  0.142  0.391  0.391
Zn  0.609  0.609  0.858
Li  0.290  0.721  0.721
Li  0.279  0.279  0.710
Zn  0.887  0.500  0.113
Zn  0.391  0.142  0.391
Zn  0.609  0.858  0.609
Zn  0.500  0.887  0.113
Li  0.721  0.721  0.290
Dy  0.000  0.000  0.000
Li  0.710  0.279  0.279
Zn  0.391  0.391  0.142
Zn  0.113  0.500  0.887
Zn  0.887  0.113  0.500
Zn  0.113  0.887  0.500

---

No. 3
LiDyZn4 | GGA-PBE | optimized geometry

Computed properties:
Its space group is Cmcm (63). For the excess energy over the best structure of this formula in the dataset, the calculation gives 0.21 eV per formula unit.

Unit cell a=4.363 b=6.431 c=8.392 alpha=67.47 beta=90.00 gamma=90.00
Sites, in units of the cell vectors:
Zn  0.250  0.250  0.412
Zn  0.250  0.972  0.083
Zn  0.250  0.838  0.412
Zn  0.250  0.445  0.083
Dy  0.250  0.388  0.723
Zn  0.750  0.028  0.917
Li  0.250  0.859  0.781
Zn  0.750  0.555  0.917
Li  0.750  0.141  0.219
Zn  0.750  0.750  0.588
Zn  0.750  0.162  0.588
Dy  0.750  0.612  0.277

---

No. 4
Li2Dy2Zn3 | GGA-PBE | optimized geometry

Computed properties:
Its space group is Cmmm (65).

Unit cell a=3.518 b=3.415 c=12.282 alpha=90.00 beta=81.76 gamma=90.00
Sites, in units of the cell vectors:
Dy  0.574  0.500  0.852
Zn  0.000  0.000  0.000
Dy  0.426  0.500  0.148
Li  0.707  0.500  0.587
Zn  0.152  0.000  0.696
Li  0.293  0.500  0.413
Zn  0.848  0.000  0.304

---

No. 5
Li5Dy2Zn12 | GGA-PBE | optimized geometry

Computed properties:
Its space group is R-3m (166).

Unit cell a=6.782 b=6.782 c=6.782 alpha=83.10 beta=83.10 gamma=83.10
Sites, in units of the cell vectors:
Li  0.903  0.903  0.903
Zn  0.652  0.652  0.155
Dy  0.347  0.347  0.347
Li  0.000  0.000  0.500
Li  0.097  0.097  0.097
Zn  0.348  0.845  0.348
Zn  0.000  0.298  0.702
Zn  0.702  0.000  0.298
Zn  0.845  0.348  0.348
Zn  0.298  0.702  0.000
Zn  0.348  0.348  0.845
Zn  0.702  0.298  0.000
Zn  0.000  0.702  0.298
Zn  0.298  0.000  0.702
Zn  0.155  0.652  0.652
Dy  0.653  0.653  0.653
Li  0.000  0.500  0.000
Zn  0.652  0.155  0.652
Li  0.500  0.000  0.000

---

No. 6
LiDyZn2 | GGA-PBE | optimized geometry

Computed properties:
Its space group is Fm-3m (225). For the excess energy over the best structure of this formula in the dataset, the calculation gives 0.00 eV per formula unit.

Unit cell a=4.772 b=4.772 c=4.772 alpha=60.00 beta=60.00 gamma=60.00
Sites, in units of the cell vectors:
Dy  0.000  0.000  0.000
Zn  0.250  0.250  0.250
Zn  0.750  0.750  0.750
Li  0.500  0.500  0.500

---

No. 7
LiDy4Zn2 | GGA-PBE | optimized geometry

Computed properties:
Its space group is R-3m (166).

Unit cell a=5.030 b=5.030 c=8.583 alpha=72.96 beta=72.96 gamma=60.00
Sites, in units of the cell vectors:
Zn  0.256  0.256  0.232
Zn  0.744  0.744  0.768
Dy  0.382  0.382  0.853
Dy  0.618  0.618  0.147
Dy  0.130  0.130  0.609
Li  0.000  0.000  0.000
Dy  0.870  0.870  0.391

---

No. 8
Li4DyZn | GGA-PBE | optimized geometry

Computed properties:
Its space group is F-43m (216).

Unit cell a=5.394 b=5.394 c=5.394 alpha=60.00 beta=60.00 gamma=60.00
Sites, in units of the cell vectors:
Dy  0.250  0.250  0.250
Li  0.627  0.627  0.627
Li  0.627  0.118  0.627
Li  0.118  0.627  0.627
Li  0.627  0.627  0.118
Zn  0.000  0.000  0.000

---

No. 9
LiDyZn | GGA-PBE | optimized geometry

Computed properties:
Its space group is P3m1 (156). For the excess energy over the best structure of this formula in the dataset, the calculation gives 0.00 eV per formula unit.

Unit cell a=3.187 b=4.746 c=4.746 alpha=120.00 beta=90.00 gamma=90.00
Sites, in units of the cell vectors:
Zn  0.167  0.333  0.667
Dy  0.667  0.667  0.333
Li  0.166  0.000  0.000

---

No. 10
Li2Dy3Zn9 | GGA-PBE | optimized geometry

Computed properties:
Its space group is Immm (71).

Unit cell a=4.462 b=8.233 c=8.233 alpha=63.04 beta=74.28 gamma=74.28
Sites, in units of the cell vectors:
Zn  0.343  0.011  0.302
Zn  0.657  0.698  0.989
Li  0.500  0.320  0.680
Dy  0.000  0.000  0.000
Dy  0.282  0.718  0.718
Zn  0.000  0.500  0.500
Zn  0.343  0.302  0.011
Zn  0.136  0.575  0.154
Li  0.500  0.680  0.320
Zn  0.136  0.154  0.575
Zn  0.864  0.425  0.846
Dy  0.718  0.282  0.282
Zn  0.864  0.846  0.425
Zn  0.657  0.989  0.698

---

No. 11
Li3Dy2Zn4 | GGA-PBE | optimized geometry

Computed properties:
Its space group is Cmce (64).

Unit cell a=5.566 b=8.021 c=8.118 alpha=90.00 beta=110.05 gamma=90.00
Sites, in units of the cell vectors:
Zn  0.182  0.972  0.363
Zn  0.303  0.250  0.106
Dy  0.387  0.087  0.775
Zn  0.803  0.250  0.106
Zn  0.697  0.750  0.894
Li  0.500  0.500  0.000
Zn  0.197  0.750  0.894
Li  0.470  0.250  0.439
Zn  0.318  0.472  0.637
Li  0.970  0.250  0.439
Dy  0.113  0.587  0.225
Li  0.530  0.750  0.561
Zn  0.682  0.528  0.363
Li  0.030  0.750  0.561
Zn  0.818  0.028  0.637
Dy  0.887  0.413  0.775
Li  0.000  0.000  0.000
Dy  0.613  0.913  0.225

---

No. 12
LiDy2Zn6 | GGA-PBE | optimized geometry

Computed properties:
Its space group is P6/mmm (191).

Unit cell a=3.266 b=7.791 c=7.791 alpha=60.00 beta=89.99 gamma=89.99
Sites, in units of the cell vectors:
Zn  0.500  0.324  0.000
Zn  0.500  0.676  0.324
Dy  0.000  0.333  0.333
Dy  0.000  0.667  0.667
Zn  0.500  0.676  0.000
Li  0.000  0.000  0.000
Zn  0.500  0.000  0.676
Zn  0.500  0.324  0.676
Zn  0.500  0.000  0.324

---

No. 13
LiDy3Zn | GGA-PBE | optimized geometry

Computed properties:
Its space group is Cmcm (63).

Unit cell a=5.081 b=5.082 c=10.059 alpha=90.00 beta=75.37 gamma=90.00
Sites, in units of the cell vectors:
Dy  0.889  0.750  0.870
Zn  0.983  0.250  0.681
Li  0.168  0.250  0.312
Dy  0.574  0.250  0.500
Li  0.480  0.750  0.688
Dy  0.759  0.250  0.130
Dy  0.387  0.250  0.874
Zn  0.665  0.750  0.319
Dy  0.074  0.750  0.500
Dy  0.261  0.750  0.126

---

no.,magnetization (μB/cell),formation enthalpy at 0 K (meV per atom)
1,0.00,-179.3
2,0.00,-19.2
3,0.00,-244.9
4,0.00,-186.3
5,0.00,-240.9
6,0.00,-246.6
7,0.00,-72.0
8,0.00,21.0
9,0.00,-119.4
10,0.00,-304.4
11,0.00,-174.6
12,0.00,-268.1
13,0.00,-91.9